Record 1
This record from the Alexandria database describes a geometry-optimized ZrMn2Si structure. The functional is PBE.

Theoretical density: 6.4 g cm⁻³
Spin magnetization: 1.02 μB/atom
Formation energy without anion corrections: -0.044 eV/atom

Lattice parameters (Å, degrees): 2.868 4.177 5.000 90.00 95.34 90.00
Space group P2/m (No. 10)
One atom of each set of equivalent atoms:
Zr  0.000  0.000  0.000 x1
Mn  0.290  0.500  0.719 x2
Si  0.500  0.000  0.500 x1



Record 2
This record from the Alexandria database describes a geometry-optimized AlSbTe2Mo structure. The functional is PBE.

Theoretical density: 5.7 g cm⁻³
Spin magnetization: 0.63 μB/atom
Formation energy without anion corrections: 0.985 eV/atom

Lattice parameters (Å, degrees): 5.293 5.293 5.172 90.00 90.00 90.00
Space group P4/mmm (No. 123)
One atom of each set of equivalent atoms:
Al  0.000  0.000  0.000 x1
Sb  0.000  0.000  0.500 x1
Te  0.000  0.500  0.000 x2
Mo  0.500  0.500  0.500 x1



Record 3
This record from the Alexandria database describes a geometry-optimized SiRhPb2I structure. The functional is PBE.

Theoretical density: 7.6 g cm⁻³
Spin magnetization: 0.00 μB/atom
Formation energy without anion corrections: 0.315 eV/atom

Lattice parameters (Å, degrees): 5.693 5.693 4.508 90.00 90.00 90.00
Space group P4/mmm (No. 123)
One atom of each set of equivalent atoms:
Si  0.000  0.000  0.000 x1
Rh  0.000  0.000  0.500 x1
Pb  0.000  0.500  0.000 x2
I  0.500  0.500  0.500 x1



Record 4
This record from the Alexandria database describes a geometry-optimized Pa2InGaN5 structure. The functional is PBE.

Theoretical density: 9.6 g cm⁻³
Spin magnetization: 0.10 μB/atom
Formation energy without anion corrections: -0.784 eV/atom

Lattice parameters (Å, degrees): 3.437 13.678 10.528 90.00 90.00 90.00
Space group Cmc2_1 (No. 36)
One atom of each set of equivalent atoms:
Pa  0.000  0.127  0.000 x4
Pa  0.000  0.127  0.464 x4
In  0.000  0.227  0.736 x4
Ga  0.000  0.494  0.232 x4
N  0.000  0.062  0.792 x4
N  0.000  0.288  0.090 x4
N  0.000  0.291  0.410 x4
N  0.000  0.376  0.814 x4
N  0.000  0.488  0.542 x4



Record 5
This record from the Alexandria database describes a geometry-optimized Li7ScPb4 structure. The functional is PBE.

ΔH_f (0 K): -122 meV/atom
Theoretical density: 5.7 g cm⁻³
Spin magnetization: 0.05 μB/atom

Lattice parameters (Å, degrees): 13.146 4.990 10.009 90.00 125.14 90.00
Space group C2/m (No. 12)
One atom of each set of equivalent atoms:
Li  0.000  0.000  0.000 x2
Li  0.079  0.500  0.363 x4
Li  0.157  0.000  0.586 x4
Li  0.210  0.500  0.882 x4
Sc  0.000  0.500  0.000 x2
Pb  0.072  0.000  0.795 x4
Pb  0.197  0.000  0.309 x4



Record 6
This record from the Alexandria database describes a geometry-optimized KY structure. The functional is PBE.

ΔH_f (0 K): 352 meV/atom
Theoretical density: 2.2 g cm⁻³
Spin magnetization: 0.14 μB/atom

Lattice parameters (Å, degrees): 14.332 14.332 3.841 90.00 90.00 90.00
Space group I4/m (No. 87)
One atom of each set of equivalent atoms:
K  0.131  0.171  0.000 x8
Y  0.044  0.628  0.500 x8



Record 7
This record from the Alexandria database describes a geometry-optimized Zn3IBr structure. The functional is PBE.

Theoretical density: 3.6 g cm⁻³
Spin magnetization: 0.00 μB/atom
Formation energy without anion corrections: 0.415 eV/atom

Lattice parameters (Å, degrees): 5.714 5.714 5.714 90.00 90.00 90.00
Space group Pm-3m (No. 221)
One atom of each set of equivalent atoms:
Zn  0.000  0.000  0.500 x3
I  0.000  0.000  0.000 x1
Br  0.500  0.500  0.500 x1



Record 8
This record from the Alexandria database describes a geometry-optimized Hf4HN3 structure. The functional is PBE.

Theoretical density: 13.5 g cm⁻³
Spin magnetization: 0.00 μB/atom
Total energy: -158.39 eV for the cell shown

Lattice parameters (Å, degrees): 6.413 9.099 3.194 90.00 90.00 90.00
Space group Cmmm (No. 65)
One atom of each set of equivalent atoms:
Hf  0.000  0.247  0.000 x4
Hf  0.248  0.000  0.500 x4
H  0.000  0.500  0.000 x2
N  0.000  0.000  0.000 x2
N  0.250  0.250  0.500 x4



Record 9
This record from the Alexandria database describes a geometry-optimized Cd2ReSb structure. The functional is PBE.

Theoretical density: 10.3 g cm⁻³
Spin magnetization: 0.27 μB/atom
Formation energy without anion corrections: 0.639 eV/atom

Lattice parameters (Å, degrees): 2.990 2.990 9.575 90.00 90.00 90.00
Space group P4/mmm (No. 123)
One atom of each set of equivalent atoms:
Cd  0.000  0.000  0.212 x2
Re  0.500  0.500  0.000 x1
Sb  0.500  0.500  0.500 x1



Record 10
This record from the Alexandria database describes a geometry-optimized Ta2NbPdW structure. The functional is PBE.

ΔH_f (0 K): 1519 meV/atom
Theoretical density: 11.2 g cm⁻³
Spin magnetization: 0.00 μB/atom

Lattice parameters (Å, degrees): 4.814 4.814 4.748 90.00 90.00 90.00
Space group P4/mmm (No. 123)
One atom of each set of equivalent atoms:
Ta  0.000  0.500  0.000 x2
Nb  0.000  0.000  0.500 x1
Pd  0.500  0.500  0.500 x1
W  0.500  0.500  0.000 x1



Record 11
This record from the Alexandria database describes a geometry-optimized Zr2FeNi structure. The functional is PBE.

ΔH_f (0 K): -255 meV/atom
Theoretical density: 7.6 g cm⁻³
Spin magnetization: 0.00 μB/atom

Lattice parameters (Å, degrees): 6.390 6.390 6.390 90.00 90.00 90.00
Space group Fm-3m (No. 225)
One atom of each set of equivalent atoms:
Zr  0.250  0.250  0.250 x8
Fe  0.000  0.000  0.000 x4
Ni  0.000  0.000  0.500 x4



Record 12
This record from the Alexandria database describes a geometry-optimized Sc6SnSb5 structure. The functional is PBE.

Theoretical density: 5.4 g cm⁻³
Spin magnetization: 0.00 μB/atom
Formation energy without anion corrections: -0.843 eV/atom

Lattice parameters (Å, degrees): 7.201 12.504 7.219 90.00 109.54 90.00
Space group C2/m (No. 12)
One atom of each set of equivalent atoms:
Sc  0.249  0.000  0.250 x4
Sc  0.250  0.167  0.750 x8
Sn  0.000  0.500  0.000 x2
Sb  0.000  0.000  0.500 x2
Sb  0.000  0.167  0.000 x4
Sb  0.000  0.333  0.500 x4



Record 13
This record from the Alexandria database describes a geometry-optimized AcPr2Cl structure. The functional is PBE.

Theoretical density: 6.9 g cm⁻³
Spin magnetization: 0.00 μB/atom
Formation energy without anion corrections: -0.529 eV/atom

Lattice parameters (Å, degrees): 3.682 3.682 9.710 90.00 90.00 90.00
Space group P4/mmm (No. 123)
One atom of each set of equivalent atoms:
Ac  0.000  0.000  0.000 x1
Pr  0.500  0.500  0.280 x2
Cl  0.000  0.000  0.500 x1



Record 14
This record from the Alexandria database describes a geometry-optimized K2CePaS6 structure. The functional is PBE.

Theoretical density: 3.6 g cm⁻³
Spin magnetization: 0.00 μB/atom
Formation energy without anion corrections: -1.435 eV/atom

Lattice parameters (Å, degrees): 7.472 7.484 12.967 90.00 125.15 90.00
Space group P2_1/c (No. 14)
One atom of each set of equivalent atoms:
K  0.248  0.012  0.250 x4
Ce  0.500  0.000  0.000 x2
Pa  0.000  0.000  0.500 x2
S  0.210  0.232  0.986 x4
S  0.255  0.724  0.986 x4
S  0.273  0.004  0.746 x4



Record 15
This record from the Alexandria database describes a geometry-optimized K2LaTe structure. The functional is PBE.

Theoretical density: 2.8 g cm⁻³
Spin magnetization: 0.32 μB/atom
Formation energy without anion corrections: -0.549 eV/atom

Lattice parameters (Å, degrees): 7.777 4.484 12.110 90.00 101.87 90.00
Space group Cm (No. 8)
One atom of each set of equivalent atoms:
K  0.000  0.000  0.000 x2
K  0.211  0.000  0.653 x2
La  0.446  0.000  0.349 x2
Te  0.229  0.500  0.193 x2



Record 16
This record from the Alexandria database describes a geometry-optimized CaNiMo2 structure. The functional is PBE.

ΔH_f (0 K): 690 meV/atom
Theoretical density: 7.1 g cm⁻³
Spin magnetization: 0.00 μB/atom

Lattice parameters (Å, degrees): 2.654 4.890 5.250 90.00 90.00 90.00
Space group Pmmm (No. 47)
One atom of each set of equivalent atoms:
Ca  0.000  0.000  0.000 x1
Ni  0.000  0.000  0.500 x1
Mo  0.500  0.500  0.257 x2



Record 17
This record from the Alexandria database describes a geometry-optimized AlPdF3 structure. The functional is PBE.

Theoretical density: 4.0 g cm⁻³
Spin magnetization: 0.00 μB/atom
Formation energy without anion corrections: -1.095 eV/atom

Lattice parameters (Å, degrees): 4.295 4.295 4.295 90.00 90.00 90.00
Space group Pm-3m (No. 221)
One atom of each set of equivalent atoms:
Al  0.000  0.000  0.000 x1
Pd  0.500  0.500  0.500 x1
F  0.000  0.500  0.500 x3



Record 18
This record from the Alexandria database describes a geometry-optimized Y2W structure. The functional is PBE.

ΔH_f (0 K): 504 meV/atom
Theoretical density: 8.1 g cm⁻³
Spin magnetization: 0.00 μB/atom

Lattice parameters (Å, degrees): 4.973 4.973 23.881 90.00 90.00 90.00
Space group I4_1/amd (No. 141, origin choice 2)
One atom of each set of equivalent atoms:
Y  0.000  0.250  0.121 x8
Y  0.000  0.250  0.288 x8
W  0.000  0.250  0.777 x8



Record 19
This record from the Alexandria database describes a geometry-optimized Li2PrAg2 structure. The functional is PBE.

ΔH_f (0 K): -192 meV/atom
Theoretical density: 5.6 g cm⁻³
Spin magnetization: 0.00 μB/atom

Lattice parameters (Å, degrees): 4.084 4.084 13.157 90.00 90.00 90.00
Space group I4/mmm (No. 139)
One atom of each set of equivalent atoms:
Li  0.000  0.500  0.250 x4
Pr  0.000  0.000  0.000 x2
Ag  0.000  0.000  0.391 x4



Record 20
This record from the Alexandria database describes a geometry-optimized Rb3Tm3SbTe8 structure. The functional is PBE.

Theoretical density: 5.4 g cm⁻³
Spin magnetization: 0.00 μB/atom
Formation energy without anion corrections: -1.079 eV/atom

Lattice parameters (Å, degrees): 15.287 8.808 10.135 90.00 120.24 90.00
Space group C2/m (No. 12)
One atom of each set of equivalent atoms:
Rb  0.000  0.000  0.000 x2
Rb  0.250  0.250  0.000 x4
Tm  0.000  0.500  0.500 x2
Tm  0.250  0.250  0.500 x4
Sb  0.000  0.000  0.500 x2
Te  0.019  0.251  0.305 x8
Te  0.232  0.000  0.695 x4
Te  0.233  0.500  0.698 x4